1.
## BaZnSeO (PBE)

Data for crystalline BaZnSeO at its relaxed geometry.

a = 7.3961 Å, b = 7.7997 Å, c = 13.0359 Å
α = 90.00°, β = 90.00°, γ = 90.00°
Fractional coordinates of all 32 atoms:
Ba (0.2427, 0.1062, 0.2034)
Ba (0.2427, 0.3938, 0.7034)
Ba (0.2573, 0.6062, 0.2034)
Ba (0.2573, 0.8938, 0.7034)
Ba (0.7427, 0.1062, 0.2966)
Ba (0.7427, 0.3938, 0.7966)
Ba (0.7573, 0.6062, 0.2966)
Ba (0.7573, 0.8938, 0.7966)
Zn (0.0941, 0.6503, 0.9185)
Zn (0.0941, 0.8497, 0.4185)
Zn (0.4059, 0.1503, 0.9185)
Zn (0.4059, 0.3497, 0.4185)
Zn (0.5941, 0.6503, 0.5815)
Zn (0.5941, 0.8497, 0.0815)
Zn (0.9059, 0.1503, 0.5815)
Zn (0.9059, 0.3497, 0.0815)
Se (0.2049, 0.1278, 0.4851)
Se (0.2049, 0.3722, 0.9851)
Se (0.2951, 0.6278, 0.4851)
Se (0.2951, 0.8722, 0.9851)
Se (0.7049, 0.1278, 0.0149)
Se (0.7049, 0.3722, 0.5149)
Se (0.7951, 0.6278, 0.0149)
Se (0.7951, 0.8722, 0.5149)
O (0.0299, 0.6552, 0.7756)
O (0.0299, 0.8448, 0.2756)
O (0.4701, 0.1552, 0.7756)
O (0.4701, 0.3448, 0.2756)
O (0.5299, 0.6552, 0.7244)
O (0.5299, 0.8448, 0.2244)
O (0.9701, 0.1552, 0.7244)
O (0.9701, 0.3448, 0.2244)

Computed properties:
Total DFT energy (no corrections) in eV/atom: -4.567



2.
## BaZnSeO (PBE)

Data for crystalline BaZnSeO at its relaxed geometry.

a = 4.3134 Å, b = 4.3134 Å, c = 9.0142 Å
α = 90.00°, β = 90.00°, γ = 90.00°
Fractional coordinates of all 8 atoms:
Ba (0.2500, 0.2500, 0.2264)
Ba (0.7500, 0.7500, 0.7736)
Zn (0.2500, 0.2500, 0.5752)
Zn (0.7500, 0.7500, 0.4248)
Se (0.2500, 0.2500, 0.8497)
Se (0.7500, 0.7500, 0.1503)
O (0.2500, 0.7500, 0.5000)
O (0.7500, 0.2500, 0.5000)

Computed properties:
Total DFT energy (no corrections) in eV/atom: -4.407



3.
## BaZnSeO (PBE)

Data for crystalline BaZnSeO at its relaxed geometry.

a = 7.4035 Å, b = 7.3542 Å, c = 6.9802 Å
α = 90.00°, β = 90.00°, γ = 90.00°
Fractional coordinates of all 16 atoms:
Ba (0.1101, 0.1532, 0.0000)
Ba (0.3899, 0.1532, 0.5000)
Ba (0.6101, 0.8468, 0.0000)
Ba (0.8899, 0.8468, 0.5000)
Zn (0.0563, 0.6508, 0.0894)
Zn (0.4437, 0.6508, 0.5894)
Zn (0.5563, 0.3492, 0.0894)
Zn (0.9437, 0.3492, 0.5894)
Se (0.1488, 0.5808, 0.7563)
Se (0.3512, 0.5808, 0.2563)
Se (0.6488, 0.4192, 0.7563)
Se (0.8512, 0.4192, 0.2563)
O (0.0634, 0.1199, 0.6311)
O (0.4366, 0.1199, 0.1311)
O (0.5634, 0.8801, 0.6311)
O (0.9366, 0.8801, 0.1311)

Computed properties:
Total DFT energy (no corrections) in eV/atom: -4.567